(1)
# CdNi2IrO6 | the Alexandria database | GGA+U | relaxed
data_CdNi2IrO6
_symmetry_space_group_name_H-M 'R 3'
_symmetry_Int_Tables_number 146
_symmetry_space_group_name_Hall 'R 3'
_cell_length_a 5.2753
_cell_length_b 5.2753
_cell_length_c 14.2282
_cell_angle_alpha 90.00
_cell_angle_beta 90.00
_cell_angle_gamma 120.00
loop_
_atom_site_label
_atom_site_type_symbol
_atom_site_fract_x
_atom_site_fract_y
_atom_site_fract_z
_atom_site_occupancy
Cd1 Cd 0.0000 0.0000 0.0000 1
Ni1 Ni 0.0000 0.0000 0.2793 1
Ni2 Ni 0.0000 0.0000 0.7900 1
Ir1 Ir 0.0000 0.0000 0.4797 1
O1 O 0.0035 0.3461 0.2117 1
O2 O 0.0314 0.6282 0.0555 1
# * calculated density: 7.52 g/cm³
# * final energy: -5.32 eV/atom

---

(2)
# Sr2CoOsO8 | the Alexandria database | GGA+U | relaxed
data_Sr2CoOsO8
_symmetry_space_group_name_H-M 'P -1'
_symmetry_Int_Tables_number 2
_cell_length_a 5.378
_cell_length_b 5.793
_cell_length_c 6.042
_cell_angle_alpha 105.17
_cell_angle_beta 100.36
_cell_angle_gamma 107.99
loop_
_symmetry_equiv_pos_as_xyz
'x,y,z'
'-x,-y,-z'
loop_
_atom_site_label
_atom_site_type_symbol
_atom_site_fract_x
_atom_site_fract_y
_atom_site_fract_z
_atom_site_occupancy
Sr1 Sr 0.135 0.378 0.258 1
Co1 Co 0.500 0.000 0.500 1
Os1 Os 0.500 0.000 0.000 1
O1 O 0.120 0.091 0.511 1
O2 O 0.221 0.100 0.937 1
O3 O 0.313 0.783 0.179 1
O4 O 0.371 0.745 0.656 1
# * calculated density: 5.54 g/cm³
# * final energy: -6.37 eV/atom